Computed, not measured: a relaxed Li4V3Cr3Sb2O16 crystal at the PBE with a Hubbard U level of DFT.

Computed properties:
**Electronic total energy**: -0.5110 Ry per atom
**Symmetry**: Cm (8)
**M_tot**: 15.0 μB/f.u.
**Crystal system**: monoclinic
**Volume**: 10.8 Å³/atom

Unit cell a=6.001 b=6.001 c=9.701 alpha=89.57 beta=89.57 gamma=59.87
Site moments in Bohr magnetons follow the coordinates.
Fractional coordinates of all 28 atoms:
Li  0.334  0.334  0.905  0.00
Li  0.000  0.000  0.992  0.00
Li  0.998  0.998  0.491  0.00
Li  0.668  0.668  0.403  0.00
V  0.170  0.170  0.214  1.91
V  0.340  0.828  0.714  1.89
V  0.828  0.340  0.714  1.89
Cr  0.170  0.660  0.214  2.99
Cr  0.660  0.170  0.214  2.99
Cr  0.830  0.830  0.715  2.99
Sb  0.333  0.333  0.487  0.04
Sb  0.667  0.667  0.988  0.04
O  0.164  0.666  0.594  0.00
O  0.481  0.481  0.342  -0.05
O  0.334  0.334  0.109  -0.02
O  0.999  0.999  0.306  -0.01
O  0.999  0.999  0.807  -0.01
O  0.666  0.164  0.594  0.00
O  0.037  0.484  0.344  -0.04
O  0.484  0.037  0.344  -0.04
O  0.834  0.834  0.097  -0.01
O  0.164  0.164  0.591  0.01
O  0.521  0.964  0.845  -0.03
O  0.964  0.521  0.845  -0.03
O  0.667  0.667  0.608  -0.04
O  0.331  0.832  0.093  0.00
O  0.519  0.519  0.845  -0.03
O  0.832  0.331  0.093  0.00